(1)
Compound: NaTiV3
Source: the Alexandria database
Functional: PBE-GGA
Structure: relaxed

DFT formation energy (eV/atom): 1.366
Size of the total moment (μB per atom): 0.7447
Distance to the lowest polymorph of the same formula (eV per formula unit): 0.00
Space-group type: No. 221
Raw total energy (eV per atom): -5.948

Cell and atoms, written as POSCAR:
```
NaTiV3
1.0
4.610 0.000 0.000
0.000 4.610 0.000
0.000 0.000 4.610
Na Ti V
1 1 3
Direct
0.000 0.000 0.000 Na
0.500 0.500 0.500 Ti
0.000 0.500 0.500 V
0.500 0.000 0.500 V
0.500 0.500 0.000 V
```

***

(2)
Compound: Zr4WBr
Source: the Alexandria database
Functional: PBE-GGA
Structure: relaxed

Formation energy without anion corrections (meV/atom): 813
Size of the total moment (μB per atom): 0.0001
Space-group type: No. 216
Raw total energy (eV per atom): -7.324

Cell and atoms, written as POSCAR:
```
Zr4WBr
1.0
0.000 4.050 4.050
4.050 0.000 4.050
4.050 4.050 0.000
Zr W Br
4 1 1
Direct
0.378 0.378 0.378 Zr
0.378 0.378 0.866 Zr
0.378 0.866 0.378 Zr
0.866 0.378 0.378 Zr
0.750 0.750 0.750 W
0.000 0.000 0.000 Br
```